Computed, not measured: LaIr2Rh at its PBEsol-relaxed geometry at the SCAN level of DFT.

As for the energy above the most stable polymorph in this dataset: 18.1 meV per atom. The formation energy is -0.04 eV per atom.

The space group is I4/mmm (No. 139) and the conventional cell measures 4.0622, 4.0622 and 8.2823 Å, with angles of 90.00, 90.00 and 90.00 degrees. The asymmetric unit holds La at (0.0000, 0.0000, 0.0000), Ir at (0.0000, 0.5000, 0.2500) and Rh at (0.0000, 0.0000, 0.5000).